{"formula": "Nd14SmZr", "functional": "PBE", "state": "optimized geometry", "e_form_kj_per_mol_fu": 73, "spacegroup": "P4/mmm, No. 123", "m_tot_mub_per_cell": 0.000, "lattice_angstrom": [[7.288, 0.000, 0.000], [0.000, 7.288, 0.000], [0.000, 0.000, 10.306]], "species": ["Nd", "Nd", "Nd", "Nd", "Nd", "Nd", "Nd", "Nd", "Nd", "Nd", "Nd", "Nd", "Nd", "Nd", "Sm", "Zr"], "frac_coords": [[0.000, 0.000, 0.000], [0.000, 0.500, 0.000], [0.000, 0.500, 0.500], [0.244, 0.244, 0.257], [0.244, 0.244, 0.743], [0.244, 0.756, 0.257], [0.244, 0.756, 0.743], [0.500, 0.000, 0.000], [0.500, 0.000, 0.500], [0.500, 0.500, 0.000], [0.756, 0.244, 0.257], [0.756, 0.244, 0.743], [0.756, 0.756, 0.257], [0.756, 0.756, 0.743], [0.500, 0.500, 0.500], [0.000, 0.000, 0.500]]}

---

{"formula": "NdHoMgAg", "functional": "PBE", "state": "optimized geometry", "e_form_kj_per_mol_fu": -71, "spacegroup": "P4mm, No. 99", "m_tot_mub_per_cell": 0.000, "lattice_angstrom": [[3.772, 0.000, 0.000], [0.000, 3.772, 0.000], [0.000, 0.000, 7.417]], "species": ["Nd", "Ho", "Mg", "Ag"], "frac_coords": [[0.000, 0.000, 0.000], [0.000, 0.000, 0.484], [0.500, 0.500, 0.732], [0.500, 0.500, 0.265]]}

---

{"formula": "Pa2PdPt", "functional": "PBE", "state": "optimized geometry", "e_form_kj_per_mol_fu": -223, "spacegroup": "Cmmm, No. 65", "m_tot_mub_per_cell": 0.000, "lattice_angstrom": [[6.252, 0.000, 0.000], [0.000, 8.379, 0.000], [0.000, 0.000, 3.170]], "species": ["Pa", "Pa", "Pa", "Pa", "Pd", "Pd", "Pt", "Pt"], "frac_coords": [[0.250, 0.250, 0.000], [0.250, 0.750, 0.000], [0.750, 0.250, 0.000], [0.750, 0.750, 0.000], [0.000, 0.000, 0.500], [0.500, 0.500, 0.500], [0.000, 0.500, 0.500], [0.500, 0.000, 0.500]]}

---

{"formula": "Gd2DyHo", "functional": "PBE", "state": "optimized geometry", "e_form_kj_per_mol_fu": 10, "spacegroup": "P4/mmm, No. 123", "m_tot_mub_per_cell": 14.501, "lattice_angstrom": [[5.029, 0.000, 0.000], [0.000, 5.029, 0.000], [0.000, 0.000, 5.019]], "species": ["Gd", "Gd", "Dy", "Ho"], "frac_coords": [[0.000, 0.500, 0.000], [0.500, 0.000, 0.000], [0.000, 0.000, 0.500], [0.500, 0.500, 0.500]]}

---

{"formula": "CoIrOs2", "functional": "PBE", "state": "optimized geometry", "e_form_kj_per_mol_fu": 45, "spacegroup": "I-4m2, No. 119", "m_tot_mub_per_cell": 0.003, "lattice_angstrom": [[3.785, 0.000, 0.000], [0.000, 3.785, 0.000], [0.000, 0.000, 7.547]], "species": ["Co", "Co", "Ir", "Ir", "Os", "Os", "Os", "Os"], "frac_coords": [[0.000, 0.000, 0.000], [0.500, 0.500, 0.500], [0.000, 0.500, 0.750], [0.500, 0.000, 0.250], [0.000, 0.000, 0.500], [0.000, 0.500, 0.250], [0.500, 0.000, 0.750], [0.500, 0.500, 0.000]]}

---

{"formula": "HoH8Ru2", "functional": "PBE", "state": "optimized geometry", "spacegroup": "Cmmm, No. 65", "m_tot_mub_per_cell": 0.000, "total_energy_ev_per_atom": -4.70, "lattice_angstrom": [[2.688, -4.244, 0.000], [2.688, 4.244, 0.000], [0.000, 0.000, 3.525]], "species": ["Ho", "H", "H", "H", "H", "H", "H", "H", "H", "Ru", "Ru"], "frac_coords": [[0.000, 0.000, 0.000], [0.040, 0.318, 0.500], [0.281, 0.719, 0.000], [0.318, 0.040, 0.500], [0.500, 0.500, 0.240], [0.500, 0.500, 0.760], [0.682, 0.960, 0.500], [0.719, 0.281, 0.000], [0.960, 0.682, 0.500], [0.322, 0.678, 0.500], [0.678, 0.322, 0.500]]}

---

{"formula": "La12Co5Sb", "functional": "PBE", "state": "optimized geometry", "spacegroup": "Immm, No. 71", "m_tot_mub_per_cell": 0.000, "formation_energy_uncorrected_kj_per_mol_atoms": -23.5, "lattice_angstrom": [[-4.870, 5.028, 5.199], [4.870, -5.028, 5.199], [4.870, 5.028, -5.199]], "species": ["La", "La", "La", "La", "La", "La", "La", "La", "La", "La", "La", "La", "Co", "Co", "Co", "Co", "Co", "Sb"], "frac_coords": [[0.007, 0.191, 0.815], [0.177, 0.312, 0.490], [0.177, 0.688, 0.865], [0.328, 0.014, 0.686], [0.328, 0.642, 0.314], [0.376, 0.191, 0.185], [0.624, 0.809, 0.815], [0.672, 0.358, 0.686], [0.672, 0.986, 0.314], [0.823, 0.312, 0.135], [0.823, 0.688, 0.510], [0.993, 0.809, 0.185], [0.000, 0.000, 0.000], [0.132, 0.632, 0.500], [0.360, 0.000, 0.360], [0.640, 0.000, 0.640], [0.868, 0.368, 0.500], [0.500, 0.500, 0.000]]}

---

{"formula": "TbMg11Cd", "functional": "PBE", "state": "optimized geometry", "e_form_kj_per_mol_fu": -61, "spacegroup": "C2/m, No. 12", "m_tot_mub_per_cell": 0.000, "lattice_angstrom": [[2.963, -7.183, 0.000], [2.963, 7.183, 0.000], [-2.873, 0.000, 7.168]], "species": ["Tb", "Mg", "Mg", "Mg", "Mg", "Mg", "Mg", "Mg", "Mg", "Mg", "Mg", "Mg", "Cd"], "frac_coords": [[0.000, 0.000, 0.000], [0.000, 0.000, 0.500], [0.000, 0.500, 0.000], [0.001, 0.349, 0.352], [0.290, 0.500, 0.788], [0.349, 0.001, 0.352], [0.500, 0.000, 0.000], [0.500, 0.290, 0.788], [0.500, 0.710, 0.212], [0.651, 0.999, 0.648], [0.710, 0.500, 0.212], [0.999, 0.651, 0.648], [0.500, 0.500, 0.500]]}

---

{"formula": "Rb2NdSb2O6", "functional": "PBE", "state": "optimized geometry", "spacegroup": "C2/m, No. 12", "m_tot_mub_per_cell": 1.002, "formation_energy_uncorrected_kj_per_mol_atoms": -174.7, "lattice_angstrom": [[5.251, -3.224, 0.000], [5.251, 3.224, 0.000], [-3.316, 0.000, 6.924]], "species": ["Rb", "Rb", "Nd", "Sb", "Sb", "O", "O", "O", "O", "O", "O"], "frac_coords": [[0.206, 0.206, 0.167], [0.794, 0.794, 0.833], [0.000, 0.000, 0.500], [0.431, 0.431, 0.770], [0.569, 0.569, 0.230], [0.228, 0.706, 0.260], [0.242, 0.242, 0.562], [0.294, 0.772, 0.740], [0.706, 0.228, 0.260], [0.758, 0.758, 0.438], [0.772, 0.294, 0.740]]}

---

{"formula": "PmEr3Co", "functional": "PBE", "state": "optimized geometry", "e_form_kj_per_mol_fu": -27, "spacegroup": "P2_1/m, No. 11", "m_tot_mub_per_cell": 0.000, "lattice_angstrom": [[5.997, 0.000, 0.000], [0.000, 7.624, 0.000], [-0.074, 0.000, 6.247]], "species": ["Pm", "Pm", "Er", "Er", "Er", "Er", "Er", "Er", "Co", "Co"], "frac_coords": [[0.246, 0.250, 0.150], [0.754, 0.750, 0.850], [0.247, 0.503, 0.669], [0.247, 0.997, 0.669], [0.250, 0.750, 0.164], [0.750, 0.250, 0.836], [0.753, 0.003, 0.331], [0.753, 0.497, 0.331], [0.003, 0.250, 0.504], [0.997, 0.750, 0.496]]}

---

{"formula": "RbZn3Au", "functional": "PBE", "state": "optimized geometry", "e_form_kj_per_mol_fu": 431, "spacegroup": "Pm-3m, No. 221", "m_tot_mub_per_cell": 0.000, "lattice_angstrom": [[6.567, 0.000, 0.000], [0.000, 6.567, 0.000], [0.000, 0.000, 6.567]], "species": ["Rb", "Zn", "Zn", "Zn", "Au"], "frac_coords": [[0.000, 0.000, 0.000], [0.000, 0.000, 0.500], [0.000, 0.500, 0.000], [0.500, 0.000, 0.000], [0.500, 0.500, 0.500]]}

---

{"formula": "LiTbCl2", "functional": "PBE", "state": "optimized geometry", "spacegroup": "R-3m, No. 166", "m_tot_mub_per_cell": 0.000, "formation_energy_uncorrected_kj_per_mol_atoms": -145.2, "lattice_angstrom": [[3.759, 0.000, 0.000], [-1.879, 3.255, 0.000], [0.000, 0.000, 24.258]], "species": ["Li", "Li", "Li", "Tb", "Tb", "Tb", "Cl", "Cl", "Cl", "Cl", "Cl", "Cl"], "frac_coords": [[0.000, 0.000, 0.000], [0.333, 0.667, 0.667], [0.667, 0.333, 0.333], [0.000, 0.000, 0.500], [0.333, 0.667, 0.167], [0.667, 0.333, 0.833], [0.000, 0.000, 0.391], [0.000, 0.000, 0.609], [0.333, 0.667, 0.058], [0.333, 0.667, 0.276], [0.667, 0.333, 0.724], [0.667, 0.333, 0.942]]}

---

{"formula": "Li7Au", "functional": "PBE", "state": "optimized geometry", "e_form_kj_per_mol_fu": -123, "spacegroup": "Fm-3m, No. 225", "m_tot_mub_per_cell": 0.621, "lattice_angstrom": [[0.000, 4.088, 4.088], [4.088, 0.000, 4.088], [4.088, 4.088, 0.000]], "species": ["Li", "Li", "Li", "Li", "Li", "Li", "Li", "Au"], "frac_coords": [[0.000, 0.000, 0.000], [0.000, 0.000, 0.500], [0.000, 0.500, 0.000], [0.000, 0.500, 0.500], [0.500, 0.000, 0.000], [0.500, 0.000, 0.500], [0.500, 0.500, 0.000], [0.500, 0.500, 0.500]]}

---

{"formula": "Ce5NO4", "functional": "PBE", "state": "optimized geometry", "spacegroup": "I4/m, No. 87", "m_tot_mub_per_cell": 0.000, "formation_energy_uncorrected_kj_per_mol_atoms": -254.3, "lattice_angstrom": [[-3.946, 3.946, 2.497], [3.946, -3.946, 2.497], [3.946, 3.946, -2.497]], "species": ["Ce", "Ce", "Ce", "Ce", "Ce", "N", "O", "O", "O", "O"], "frac_coords": [[0.000, 0.000, 0.000], [0.202, 0.599, 0.800], [0.401, 0.202, 0.603], [0.599, 0.798, 0.397], [0.798, 0.401, 0.200], [0.500, 0.500, 0.000], [0.102, 0.299, 0.401], [0.299, 0.898, 0.197], [0.701, 0.102, 0.803], [0.898, 0.701, 0.599]]}

---

{"formula": "Nd3ScSn4", "functional": "PBE", "state": "optimized geometry", "e_form_kj_per_mol_fu": -428, "spacegroup": "Immm, No. 71", "m_tot_mub_per_cell": 0.000, "lattice_angstrom": [[4.248, 0.000, 0.000], [0.000, 6.914, 0.000], [0.000, 0.000, 16.922]], "species": ["Nd", "Nd", "Nd", "Nd", "Nd", "Nd", "Sc", "Sc", "Sn", "Sn", "Sn", "Sn", "Sn", "Sn", "Sn", "Sn"], "frac_coords": [[0.000, 0.000, 0.000], [0.000, 0.500, 0.201], [0.000, 0.500, 0.799], [0.500, 0.000, 0.299], [0.500, 0.000, 0.701], [0.500, 0.500, 0.500], [0.000, 0.000, 0.500], [0.500, 0.500, 0.000], [0.000, 0.290, 0.374], [0.000, 0.290, 0.626], [0.000, 0.710, 0.374], [0.000, 0.710, 0.626], [0.500, 0.210, 0.126], [0.500, 0.210, 0.874], [0.500, 0.790, 0.126], [0.500, 0.790, 0.874]]}

---

{"formula": "SrCoSe", "functional": "PBE", "state": "optimized geometry", "spacegroup": "I4mm, No. 107", "m_tot_mub_per_cell": 2.657, "formation_energy_uncorrected_kj_per_mol_atoms": -20.6, "lattice_angstrom": [[3.512, 0.000, 0.000], [0.000, 3.512, 0.000], [0.000, 0.000, 10.593]], "species": ["Sr", "Sr", "Co", "Co", "Se", "Se"], "frac_coords": [[0.000, 0.000, 0.000], [0.500, 0.500, 0.500], [0.000, 0.000, 0.714], [0.500, 0.500, 0.214], [0.000, 0.000, 0.287], [0.500, 0.500, 0.787]]}

---

{"formula": "Al2CuBi", "functional": "PBE", "state": "optimized geometry", "e_form_kj_per_mol_fu": 155, "spacegroup": "Fm-3m, No. 225", "m_tot_mub_per_cell": 0.000, "lattice_angstrom": [[6.908, 0.000, 0.000], [0.000, 6.908, 0.000], [0.000, 0.000, 6.908]], "species": ["Al", "Al", "Al", "Al", "Al", "Al", "Al", "Al", "Cu", "Cu", "Cu", "Cu", "Bi", "Bi", "Bi", "Bi"], "frac_coords": [[0.250, 0.250, 0.250], [0.250, 0.250, 0.750], [0.250, 0.750, 0.250], [0.250, 0.750, 0.750], [0.750, 0.250, 0.250], [0.750, 0.250, 0.750], [0.750, 0.750, 0.250], [0.750, 0.750, 0.750], [0.000, 0.000, 0.000], [0.000, 0.500, 0.500], [0.500, 0.000, 0.500], [0.500, 0.500, 0.000], [0.000, 0.000, 0.500], [0.000, 0.500, 0.000], [0.500, 0.000, 0.000], [0.500, 0.500, 0.500]]}

---

{"formula": "Sm3Dy2Y7", "functional": "PBE", "state": "optimized geometry", "e_form_kj_per_mol_fu": 96, "spacegroup": "P2/m, No. 10", "m_tot_mub_per_cell": 0.000, "lattice_angstrom": [[6.373, 0.000, 0.000], [0.000, 3.535, 0.000], [-1.861, 0.000, 17.494]], "species": ["Sm", "Sm", "Sm", "Dy", "Dy", "Y", "Y", "Y", "Y", "Y", "Y", "Y"], "frac_coords": [[0.000, 0.000, 0.000], [0.048, 0.500, 0.659], [0.952, 0.500, 0.341], [0.443, 0.000, 0.327], [0.557, 0.000, 0.673], [0.228, 0.500, 0.166], [0.247, 0.000, 0.501], [0.275, 0.000, 0.833], [0.500, 0.500, 0.000], [0.725, 0.000, 0.167], [0.753, 0.000, 0.499], [0.772, 0.500, 0.834]]}

---

{"formula": "Nd6P2Se3Br", "functional": "PBE", "state": "optimized geometry", "spacegroup": "C2/m, No. 12", "m_tot_mub_per_cell": 0.000, "formation_energy_uncorrected_kj_per_mol_atoms": -162.7, "lattice_angstrom": [[9.178, -2.102, 0.000], [9.178, 2.102, 0.000], [-1.856, 0.000, 8.302]], "species": ["Nd", "Nd", "Nd", "Nd", "Nd", "Nd", "P", "P", "Se", "Se", "Se", "Br"], "frac_coords": [[0.010, 0.010, 0.275], [0.323, 0.323, 0.889], [0.329, 0.329, 0.426], [0.671, 0.671, 0.574], [0.677, 0.677, 0.111], [0.990, 0.990, 0.725], [0.168, 0.168, 0.335], [0.832, 0.832, 0.665], [0.160, 0.160, 0.837], [0.500, 0.500, 0.500], [0.840, 0.840, 0.163], [0.500, 0.500, 0.000]]}

---

{"formula": "CaCrMo2", "functional": "PBE", "state": "optimized geometry", "e_form_kj_per_mol_fu": 222, "spacegroup": "P2/m, No. 10", "m_tot_mub_per_cell": 0.000, "lattice_angstrom": [[3.034, 0.000, 0.000], [0.000, 3.636, 0.000], [-0.906, 0.000, 6.926]], "species": ["Ca", "Cr", "Mo", "Mo"], "frac_coords": [[0.000, 0.000, 0.000], [0.000, 0.000, 0.500], [0.419, 0.500, 0.668], [0.581, 0.500, 0.332]]}

---

{"formula": "Pm5Dy4Hg", "functional": "PBE", "state": "optimized geometry", "e_form_kj_per_mol_fu": -74, "spacegroup": "P4/mmm, No. 123", "m_tot_mub_per_cell": 0.000, "lattice_angstrom": [[3.631, 0.000, 0.000], [0.000, 3.631, 0.000], [0.000, 0.000, 24.243]], "species": ["Pm", "Pm", "Pm", "Pm", "Pm", "Dy", "Dy", "Dy", "Dy", "Hg"], "frac_coords": [[0.000, 0.000, 0.000], [0.000, 0.000, 0.207], [0.000, 0.000, 0.415], [0.000, 0.000, 0.585], [0.000, 0.000, 0.793], [0.500, 0.500, 0.104], [0.500, 0.500, 0.310], [0.500, 0.500, 0.690], [0.500, 0.500, 0.896], [0.500, 0.500, 0.500]]}

---

{"formula": "NdSmYHo", "functional": "PBE", "state": "optimized geometry", "e_form_kj_per_mol_fu": 7, "spacegroup": "I-4m2, No. 119", "m_tot_mub_per_cell": 0.000, "lattice_angstrom": [[5.103, 0.000, 0.000], [0.000, 5.103, 0.000], [0.000, 0.000, 10.152]], "species": ["Nd", "Nd", "Sm", "Sm", "Y", "Y", "Ho", "Ho"], "frac_coords": [[0.000, 0.000, 0.000], [0.500, 0.500, 0.500], [0.000, 0.500, 0.750], [0.500, 0.000, 0.250], [0.000, 0.500, 0.250], [0.500, 0.000, 0.750], [0.000, 0.000, 0.500], [0.500, 0.500, 0.000]]}

---

{"formula": "AlSbTe2", "functional": "PBE", "state": "optimized geometry", "spacegroup": "F-43m, No. 216", "m_tot_mub_per_cell": 0.000, "formation_energy_uncorrected_kj_per_mol_atoms": 29.9, "lattice_angstrom": [[7.472, 0.000, 0.000], [0.000, 7.472, 0.000], [0.000, 0.000, 7.472]], "species": ["Al", "Al", "Al", "Al", "Sb", "Sb", "Sb", "Sb", "Te", "Te", "Te", "Te", "Te", "Te", "Te", "Te"], "frac_coords": [[0.000, 0.000, 0.000], [0.000, 0.500, 0.500], [0.500, 0.000, 0.500], [0.500, 0.500, 0.000], [0.250, 0.250, 0.750], [0.250, 0.750, 0.250], [0.750, 0.250, 0.250], [0.750, 0.750, 0.750], [0.000, 0.000, 0.500], [0.000, 0.500, 0.000], [0.250, 0.250, 0.250], [0.250, 0.750, 0.750], [0.500, 0.000, 0.000], [0.500, 0.500, 0.500], [0.750, 0.250, 0.750], [0.750, 0.750, 0.250]]}

---

{"formula": "PuUFeRh", "functional": "PBE", "state": "optimized geometry", "e_form_kj_per_mol_fu": -127, "spacegroup": "F-43m, No. 216", "m_tot_mub_per_cell": 12.470, "lattice_angstrom": [[6.449, 0.000, 0.000], [0.000, 6.449, 0.000], [0.000, 0.000, 6.449]], "species": ["Pu", "Pu", "Pu", "Pu", "U", "U", "U", "U", "Fe", "Fe", "Fe", "Fe", "Rh", "Rh", "Rh", "Rh"], "frac_coords": [[0.000, 0.000, 0.000], [0.000, 0.500, 0.500], [0.500, 0.000, 0.500], [0.500, 0.500, 0.000], [0.250, 0.250, 0.250], [0.250, 0.750, 0.750], [0.750, 0.250, 0.750], [0.750, 0.750, 0.250], [0.250, 0.250, 0.750], [0.250, 0.750, 0.250], [0.750, 0.250, 0.250], [0.750, 0.750, 0.750], [0.000, 0.000, 0.500], [0.000, 0.500, 0.000], [0.500, 0.000, 0.000], [0.500, 0.500, 0.500]]}

---

{"formula": "LiCa2W", "functional": "PBE", "state": "optimized geometry", "e_form_kj_per_mol_fu": 279, "spacegroup": "R-3m, No. 166", "m_tot_mub_per_cell": 0.000, "lattice_angstrom": [[3.208, 0.000, 0.000], [-1.604, 2.778, 0.000], [0.000, 0.000, 33.065]], "species": ["Li", "Li", "Li", "Ca", "Ca", "Ca", "Ca", "Ca", "Ca", "W", "W", "W"], "frac_coords": [[0.000, 0.000, 0.000], [0.333, 0.667, 0.667], [0.667, 0.333, 0.333], [0.000, 0.000, 0.242], [0.000, 0.000, 0.758], [0.333, 0.667, 0.424], [0.333, 0.667, 0.909], [0.667, 0.333, 0.091], [0.667, 0.333, 0.576], [0.000, 0.000, 0.500], [0.333, 0.667, 0.167], [0.667, 0.333, 0.833]]}